1.
Crystalline LiAcEr2 at its relaxed geometry. Source: Alexandria, functional GGA-PBE.

extended XYZ file:
```
4
Lattice="1.811 1.046 11.372 -1.811 1.046 11.372 0.000 -2.091 11.372" Properties=species:S:1:pos:R:3 pbc="T T T"
Li 0.000 0.000 0.000
Ac 0.000 0.000 5.675
Er 0.000 0.000 13.968
Er 0.000 0.000 20.136
```

Computed properties:
The calculation puts the formation energy at 205 meV per atom. For the total energy, the calculation gives -14.33 eV/cell. The energy above the most stable polymorph in this dataset is 88.1 meV per atom. The calculation puts the density of states at the Fermi level at 5.5 states/eV/f.u.

=====

2.
Crystalline LiAcEr2 at its relaxed geometry. Source: Alexandria, functional GGA-PBE.

extended XYZ file:
```
4
Lattice="0.000 4.010 4.010 4.010 0.000 4.010 4.010 4.010 0.000" Properties=species:S:1:pos:R:3 pbc="T T T"
Li 0.000 0.000 0.000
Ac 4.010 4.010 4.010
Er 2.005 2.005 2.005
Er 6.015 6.015 6.015
```

Computed properties:
The calculation puts the formation energy at 275 meV per atom. For the total energy, the calculation gives -14.05 eV/cell. The energy above the most stable polymorph in this dataset is 158.3 meV per atom. The calculation puts the density of states at the Fermi level at 4.1 states/eV/f.u.

=====

3.
Crystalline LiAcEr at its relaxed geometry. Source: Alexandria, functional GGA-PBE.

extended XYZ file:
```
3
Lattice="3.696 0.000 0.000 -1.848 3.201 0.000 0.000 0.000 8.510" Properties=species:S:1:pos:R:3 pbc="T T T"
Li 0.000 0.000 0.000
Ac 1.848 1.067 2.914
Er 0.000 2.134 5.888
```

Computed properties:
The calculation puts the formation energy at 167 meV per atom. For the total energy, the calculation gives -10.08 eV/cell. The energy above the most stable polymorph in this dataset is 73.1 meV per atom. The calculation puts the density of states at the Fermi level at 4.1 states/eV/f.u.

=====

4.
Crystalline LiAcEr2 at its relaxed geometry. Source: Alexandria, functional GGA-PBE.

extended XYZ file:
```
4
Lattice="3.775 0.000 0.000 0.000 3.775 0.000 0.000 0.000 8.691" Properties=species:S:1:pos:R:3 pbc="T T T"
Li 0.000 0.000 0.000
Ac 0.000 0.000 4.346
Er 1.887 1.887 1.777
Er 1.887 1.887 6.914
```

Computed properties:
The calculation puts the formation energy at 116 meV per atom. For the total energy, the calculation gives -14.68 eV/cell. The energy above the most stable polymorph in this dataset is 0.0 meV per atom. The calculation puts the density of states at the Fermi level at 5.9 states/eV/f.u.